<one>
Below is a geometry-optimized Li2HfI structure, with properties calculated at the GGA-PBEsol level.

Lattice parameters (Å, degrees): 4.811 4.811 4.811 60.00 60.00 60.00
Element x y z (fractional)
I (0.000, 0.000, 0.000)
Hf (0.500, 0.500, 0.500)
Li (0.250, 0.250, 0.250)
Li (0.750, 0.750, 0.750)

Values from the calculation:
total magnetic moment	0.00	μB/cell


<two>
Below is a geometry-optimized Li2HfI structure, with properties calculated at the GGA-PBEsol level.

Lattice parameters (Å, degrees): 5.589 6.192 6.192 78.25 63.17 63.17
Element x y z (fractional)
I (0.500, 0.000, 0.000)
I (0.250, 0.500, 0.500)
Hf (0.000, 0.000, 0.000)
Hf (0.750, 0.500, 0.500)
Li (0.875, 0.963, 0.537)
Li (0.375, 0.037, 0.463)
Li (0.588, 0.537, 0.037)
Li (0.162, 0.463, 0.963)

Values from the calculation:
total magnetic moment	0.00	μB/cell


Stability verdict: <two>, ahead by 25.0 kJ/mol of atoms


<one>
Below is a geometry-optimized HfTe2IO structure, with properties calculated at the GGA-PBEsol level.

Lattice parameters (Å, degrees): 5.466 5.466 5.566 90.00 90.00 90.00
Each line ends with the local moment (μB).
Element x y z (fractional)
I (0.000, 0.000, 0.500)  0.03
Te (0.000, 0.500, 0.000)  0.08
Te (0.500, 0.000, 0.000)  0.08
Hf (0.000, 0.000, 0.000)  0.01
O (0.500, 0.500, 0.500)  1.29

Values from the calculation:
total magnetic moment	1.94	μB/cell


<two>
Below is a geometry-optimized HfTe2IO structure, with properties calculated at the GGA-PBEsol level.

Lattice parameters (Å, degrees): 3.895 5.732 5.732 90.00 90.00 90.00
Each line ends with the local moment (μB).
Element x y z (fractional)
I (0.000, 0.000, 0.000)  0.04
Te (0.000, 0.000, 0.500)  -0.02
Te (0.000, 0.500, 0.000)  -0.02
Hf (0.500, 0.500, 0.500)  0.58
O (0.500, 0.000, 0.000)  0.01

Values from the calculation:
total magnetic moment	0.97	μB/cell


Stability verdict: <one>, ahead by 15.3 kJ/mol of atoms


<one>
Below is a geometry-optimized HfRh3I structure, with properties calculated at the GGA-PBEsol level.

Lattice parameters (Å, degrees): 4.757 4.757 4.757 90.00 90.00 90.00
Element x y z (fractional)
I (0.500, 0.500, 0.500)
Rh (0.000, 0.500, 0.000)
Rh (0.000, 0.000, 0.500)
Rh (0.500, 0.000, 0.000)
Hf (0.000, 0.000, 0.000)

Values from the calculation:
total magnetic moment	0.00	μB/cell


<two>
Below is a geometry-optimized HfRh3I structure, with properties calculated at the GGA-PBEsol level.

Lattice parameters (Å, degrees): 4.704 4.704 4.704 90.00 90.00 90.00
Element x y z (fractional)
I (0.000, 0.000, 0.000)
Rh (0.000, 0.500, 0.000)
Rh (0.000, 0.000, 0.500)
Rh (0.500, 0.000, 0.000)
Hf (0.500, 0.500, 0.500)

Values from the calculation:
total magnetic moment	0.00	μB/cell


Stability verdict: <one>, ahead by 4.0 kJ/mol of atoms


<one>
Below is a geometry-optimized Hf5Ir3 structure, with properties calculated at the GGA-PBEsol level.

Lattice parameters (Å, degrees): 5.422 7.887 7.887 120.00 90.00 90.00
Element x y z (fractional)
Hf (0.500, 0.667, 0.333)
Hf (0.500, 0.333, 0.667)
Hf (0.000, 0.333, 0.667)
Hf (0.000, 0.667, 0.333)
Hf (0.750, 0.241, 0.241)
Hf (0.750, 0.000, 0.759)
Hf (0.750, 0.759, 0.000)
Hf (0.250, 0.759, 0.759)
Hf (0.250, 0.000, 0.241)
Hf (0.250, 0.241, 0.000)
Ir (0.750, 0.601, 0.601)
Ir (0.750, 0.000, 0.399)
Ir (0.750, 0.399, 0.000)
Ir (0.250, 0.399, 0.399)
Ir (0.250, 0.000, 0.601)
Ir (0.250, 0.601, 0.000)

Values from the calculation:
total magnetic moment	0.00	μB/cell


<two>
Below is a geometry-optimized Hf5Ir3 structure, with properties calculated at the GGA-PBEsol level.

Lattice parameters (Å, degrees): 7.811 7.811 16.756 90.00 90.00 120.00
Element x y z (fractional)
Hf (0.990, 0.763, 0.826)
Hf (0.773, 0.010, 0.493)
Hf (0.010, 0.237, 0.326)
Hf (0.763, 0.990, 0.174)
Hf (0.237, 0.227, 0.160)
Hf (0.227, 0.990, 0.993)
Hf (0.010, 0.773, 0.507)
Hf (0.237, 0.010, 0.674)
Hf (0.763, 0.773, 0.660)
Hf (0.990, 0.227, 0.007)
Hf (0.227, 0.237, 0.840)
Hf (0.773, 0.763, 0.340)
Hf (0.688, 0.344, 0.917)
Hf (0.656, 0.312, 0.583)
Hf (0.312, 0.656, 0.417)
Hf (0.344, 0.688, 0.083)
Hf (0.656, 0.344, 0.250)
Hf (0.344, 0.656, 0.750)
Hf (0.242, 0.621, 0.917)
Hf (0.379, 0.758, 0.583)
Hf (0.758, 0.379, 0.417)
Hf (0.621, 0.242, 0.083)
Hf (0.379, 0.621, 0.250)
Hf (0.621, 0.379, 0.750)
Hf (0.000, 0.752, 0.167)
Hf (0.752, 0.000, 0.833)
Hf (0.000, 0.248, 0.667)
Hf (0.248, 0.248, 0.500)
Hf (0.248, 0.000, 0.333)
Hf (0.752, 0.752, 0.000)
Ir (0.973, 0.581, 0.024)
Ir (0.608, 0.027, 0.691)
Ir (0.027, 0.419, 0.524)
Ir (0.581, 0.973, 0.976)
Ir (0.419, 0.392, 0.357)
Ir (0.392, 0.973, 0.191)
Ir (0.027, 0.608, 0.309)
Ir (0.419, 0.027, 0.476)
Ir (0.581, 0.608, 0.857)
Ir (0.973, 0.392, 0.809)
Ir (0.392, 0.419, 0.643)
Ir (0.608, 0.581, 0.143)
Ir (0.000, 0.381, 0.167)
Ir (0.381, 0.000, 0.833)
Ir (0.000, 0.619, 0.667)
Ir (0.619, 0.619, 0.500)
Ir (0.619, 0.000, 0.333)
Ir (0.381, 0.381, 0.000)

Values from the calculation:
total magnetic moment	0.00	μB/cell


Stability verdict: <two>, ahead by 0.9 kJ/mol of atoms


<one>
Below is a geometry-optimized KHfMg2 structure, with properties calculated at the GGA-PBEsol level.

Lattice parameters (Å, degrees): 5.328 5.328 5.328 60.00 60.00 60.00
Element x y z (fractional)
K (0.000, 0.000, 0.000)
Hf (0.500, 0.500, 0.500)
Mg (0.250, 0.250, 0.250)
Mg (0.750, 0.750, 0.750)

Values from the calculation:
total magnetic moment	0.00	μB/cell


<two>
Below is a geometry-optimized KHfMg2 structure, with properties calculated at the GGA-PBEsol level.

Lattice parameters (Å, degrees): 6.653 6.809 6.809 76.19 60.75 60.75
Each line ends with the local moment (μB).
Element x y z (fractional)
K (0.250, 0.500, 0.500)  0.02
K (0.500, 0.000, 0.000)  0.02
Hf (0.750, 0.500, 0.500)  0.43
Hf (0.000, 0.000, 0.000)  0.43
Mg (0.105, 0.020, 0.520)  0.01
Mg (0.645, 0.980, 0.480)  0.01
Mg (0.375, 0.520, 0.980)  0.01
Mg (0.875, 0.480, 0.020)  0.01

Values from the calculation:
total magnetic moment	1.87	μB/cell


Stability verdict: <one>, ahead by 29.8 kJ/mol of atoms


<one>
Below is a geometry-optimized La2HfO5 structure, with properties calculated at the GGA-PBEsol level.

Lattice parameters (Å, degrees): 5.570 6.436 7.830 108.39 90.00 115.64
Element x y z (fractional)
La (0.302, 0.657, 0.167)
La (0.355, 0.657, 0.667)
La (0.645, 0.343, 0.333)
La (0.698, 0.343, 0.833)
Hf (0.000, 0.000, 0.500)
Hf (0.000, 0.000, 0.000)
O (0.615, 0.723, 0.963)
O (0.108, 0.723, 0.463)
O (0.610, 0.706, 0.398)
O (0.904, 0.294, 0.102)
O (0.096, 0.706, 0.898)
O (0.390, 0.294, 0.602)
O (0.892, 0.277, 0.537)
O (0.133, 0.000, 0.250)
O (0.385, 0.277, 0.037)
O (0.867, 0.000, 0.750)

Values from the calculation:
total magnetic moment	0.00	μB/cell


<two>
Below is a geometry-optimized La2HfO5 structure, with properties calculated at the GGA-PBEsol level.

Lattice parameters (Å, degrees): 3.908 11.095 11.782 90.00 90.00 90.00
Element x y z (fractional)
La (0.750, 0.890, 0.278)
La (0.750, 0.869, 0.936)
La (0.250, 0.631, 0.436)
La (0.250, 0.610, 0.778)
La (0.750, 0.390, 0.222)
La (0.750, 0.369, 0.564)
La (0.250, 0.131, 0.064)
La (0.250, 0.110, 0.722)
Hf (0.750, 0.821, 0.617)
Hf (0.250, 0.679, 0.117)
Hf (0.750, 0.321, 0.883)
Hf (0.250, 0.179, 0.383)
O (0.250, 0.997, 0.898)
O (0.750, 0.989, 0.661)
O (0.250, 0.764, 0.268)
O (0.750, 0.769, 0.453)
O (0.250, 0.763, 0.614)
O (0.750, 0.737, 0.114)
O (0.250, 0.731, 0.953)
O (0.750, 0.736, 0.768)
O (0.250, 0.511, 0.161)
O (0.750, 0.503, 0.398)
O (0.250, 0.497, 0.602)
O (0.750, 0.489, 0.839)
O (0.250, 0.264, 0.232)
O (0.750, 0.269, 0.047)
O (0.250, 0.263, 0.886)
O (0.750, 0.237, 0.386)
O (0.250, 0.231, 0.547)
O (0.750, 0.236, 0.732)
O (0.250, 0.011, 0.339)
O (0.750, 0.003, 0.102)

Values from the calculation:
total magnetic moment	0.00	μB/cell


Stability verdict: <two>, ahead by 1.6 kJ/mol of atoms